(1)
ScCdSN2: optimized geometry, PBE-GGA.

```
ScCdSN2
1.0
-2.626 -1.775 2.624
0.982 -3.697 -1.518
3.724 -0.423 3.441
Sc S N Cd
1 1 2 1
direct
0.500 0.500 0.500
0.000 0.000 0.500
0.000 0.500 0.000
0.500 0.000 0.000
0.000 0.000 0.000
```

Values from the calculation:
excess energy over the best structure of this formula in the dataset = 0.5923 eV per atom
formation energy from raw total energies = 1.04 eV per atom
magnetization = 1.7 μB/f.u.

(2)
ScCdSN2: optimized geometry, PBE-GGA.

```
ScCdSN2
1.0
-0.159 3.024 2.833
-2.200 -2.464 2.507
4.417 -1.770 2.137
Sc S N Cd
1 1 2 1
direct
0.000 0.000 0.000
0.000 0.000 0.500
0.000 0.500 0.000
0.500 0.000 0.000
0.500 0.500 0.500
```

Values from the calculation:
excess energy over the best structure of this formula in the dataset = 0.0000 eV per atom
formation energy from raw total energies = 0.45 eV per atom
magnetization = 2.3 μB/f.u.

(3)
ScCdS2N: optimized geometry, PBE-GGA.

```
ScCdS2N
1.0
5.022 0.000 0.000
0.000 5.022 0.000
0.000 0.000 4.148
Sc S N Cd
1 2 1 1
direct
0.000 0.000 0.000
0.000 0.500 0.000
0.500 0.000 0.000
0.000 0.000 0.500
0.500 0.500 0.500
```

Values from the calculation:
excess energy over the best structure of this formula in the dataset = 0.0000 eV per atom
formation energy from raw total energies = -0.07 eV per atom
magnetization = 2.1 μB/f.u.

(4)
CdSeSN2: optimized geometry, PBE-GGA.

```
CdSeSN2
1.0
4.158 0.000 0.000
0.000 4.158 0.000
0.000 0.000 6.135
S N Se Cd
1 2 1 1
direct
0.500 0.500 0.500
0.000 0.500 0.000
0.500 0.000 0.000
0.000 0.000 0.500
0.000 0.000 0.000
```

Values from the calculation:
excess energy over the best structure of this formula in the dataset = 0.6238 eV per atom
formation energy from raw total energies = 1.91 eV per atom
magnetization = 4.4 μB/f.u.

> What is the formula in the second record?

ScCdSN2

Please write out number 2 again, unchanged.
ScCdSN2: optimized geometry, PBE-GGA.

```
ScCdSN2
1.0
-0.159 3.024 2.833
-2.200 -2.464 2.507
4.417 -1.770 2.137
Sc S N Cd
1 1 2 1
direct
0.000 0.000 0.000
0.000 0.000 0.500
0.000 0.500 0.000
0.500 0.000 0.000
0.500 0.500 0.500
```

Values from the calculation:
excess energy over the best structure of this formula in the dataset = 0.0000 eV per atom
formation energy from raw total energies = 0.45 eV per atom
magnetization = 2.3 μB/f.u.

> Among the records above, which one has the lowest magnetization?

number 1

> Which formula does entry 3 have?

ScCdS2N